Here is CoPtAu2 at its PBEsol-relaxed geometry from Alexandria via LeMat-Bulk. Energies are from SCAN.

```
CoPtAu2
1.0
2.8010 0.0000 0.0000
0.0000 3.7794 0.0000
0.0000 0.0000 5.6454
Co Pt Au
1 1 2
direct
0.0000 0.0000 0.0000
0.0000 0.0000 0.5000
0.5000 0.5000 0.2388
0.5000 0.5000 0.7612
```

Results
Space group: Pmmm (47)
Energy, eV/atom: -56.3571
Relative energy among the computed polymorphs, eV/atom: 0.111
Formation energy, eV per atom: 0.10
Magnetic moment, μB/cell: 2.3

***

Here is Co2PtAu at its PBEsol-relaxed geometry from Alexandria via LeMat-Bulk. Energies are from SCAN.

```
Co2PtAu
1.0
-1.8693 1.8693 3.8157
1.8693 -1.8693 3.8157
1.8693 1.8693 -3.8157
Co Pt Au
2 1 1
direct
0.0000 0.0000 0.0000
0.7500 0.2500 0.5000
0.5000 0.5000 0.0000
0.2500 0.7500 0.5000
```

Results
Space group: I-4m2 (119)
Energy, eV/atom: -43.4917
Formation energy, eV per atom: 0.00
Magnetic moment, μB/cell: 4.3

***

Here is CoPt2Au at its PBEsol-relaxed geometry from Alexandria via LeMat-Bulk. Energies are from SCAN.

```
CoPt2Au
1.0
1.3692 0.7905 8.9476
-1.3692 0.7905 8.9476
0.0000 -1.5811 8.9476
Co Pt Au
1 2 1
direct
0.0000 0.0000 0.0000
0.2575 0.2575 0.2575
0.7425 0.7425 0.7425
0.5000 0.5000 0.5000
```

Results
Space group: R-3m (166)
Energy, eV/atom: -56.7723
Formation energy, eV per atom: -0.06
Magnetic moment, μB/cell: 2.6

***

Here is CoPt2Au at its PBEsol-relaxed geometry from Alexandria via LeMat-Bulk. Energies are from SCAN.

```
CoPt2Au
1.0
-1.9277 1.9277 3.8932
1.9277 -1.9277 3.8932
1.9277 1.9277 -3.8932
Co Pt Au
1 2 1
direct
0.0000 0.0000 0.0000
0.2500 0.7500 0.5000
0.7500 0.2500 0.5000
0.5000 0.5000 0.0000
```

Results
Space group: I4/mmm (139)
Energy, eV/atom: -56.7350
Formation energy, eV per atom: -0.02
Magnetic moment, μB/cell: 2.6

***

Here is Co2PtAu at its PBEsol-relaxed geometry from Alexandria via LeMat-Bulk. Energies are from SCAN.

```
Co2PtAu
1.0
2.6833 -3.6718 0.0000
2.6833 3.6718 0.0000
0.0000 0.0000 2.6988
Co Pt Au
2 1 1
direct
0.0000 0.5000 0.0000
0.5000 0.0000 0.0000
0.0000 0.0000 0.5000
0.5000 0.5000 0.5000
```

Results
Space group: Cmmm (65)
Energy, eV/atom: -43.4902
Formation energy, eV per atom: 0.00
Magnetic moment, μB/cell: 4.4

***

Here is CoPtAu2 at its PBEsol-relaxed geometry from Alexandria via LeMat-Bulk. Energies are from SCAN.

```
CoPtAu2
1.0
2.7710 0.0000 0.0000
0.0000 2.7710 0.0000
0.0000 0.0000 7.7641
Co Pt Au
1 1 2
direct
0.0000 0.0000 0.0000
0.5000 0.5000 0.2105
0.0000 0.0000 0.4824
0.5000 0.5000 0.7629
```

Results
Space group: P4mm (99)
Energy, eV/atom: -56.4683
Relative energy among the computed polymorphs, eV/atom: 0.000
Formation energy, eV per atom: -0.02
Magnetic moment, μB/cell: 2.3

***

Here is Zn2CoReAu at its PBEsol-relaxed geometry from Alexandria via LeMat-Bulk. Energies are from SCAN.

```
Zn2CoReAu
1.0
4.7365 0.0000 0.0000
0.0000 4.7365 0.0000
0.0000 0.0000 4.8196
Zn Co Re Au
2 1 1 1
direct
0.0000 0.5000 0.0000
0.5000 0.0000 0.0000
0.0000 0.0000 0.5000
0.5000 0.5000 0.0000
0.5000 0.5000 0.5000
```

Results
Space group: P4/mmm (123)
Energy, eV/atom: -35.5517
Formation energy, eV per atom: 1.37
Magnetic moment, μB/cell: 2.2

***

Here is CoRhAu at its PBEsol-relaxed geometry from Alexandria via LeMat-Bulk. Energies are from SCAN.

```
CoRhAu
1.0
0.0000 2.8595 2.8595
2.8595 0.0000 2.8595
2.8595 2.8595 0.0000
Co Rh Au
1 1 1
direct
0.0000 0.0000 0.0000
0.2500 0.2500 0.2500
0.7500 0.7500 0.7500
```

Results
Space group: F-43m (216)
Energy, eV/atom: -39.7337
Relative energy among the computed polymorphs, eV/atom: 0.000
Formation energy, eV per atom: 0.34
Magnetic moment, μB/cell: 3.4

***

Here is CoRhAu at its PBEsol-relaxed geometry from Alexandria via LeMat-Bulk. Energies are from SCAN.

```
CoRhAu
1.0
0.0000 2.9322 2.9322
2.9322 0.0000 2.9322
2.9322 2.9322 0.0000
Co Rh Au
1 1 1
direct
0.0000 0.0000 0.0000
0.5000 0.5000 0.5000
0.7500 0.7500 0.7500
```

Results
Space group: F-43m (216)
Energy, eV/atom: -39.3693
Relative energy among the computed polymorphs, eV/atom: 0.364
Formation energy, eV per atom: 0.71
Magnetic moment, μB/cell: 3.1

***

Here is Co2RuAu at its PBEsol-relaxed geometry from Alexandria via LeMat-Bulk. Energies are from SCAN.

```
Co2RuAu
1.0
1.3277 0.7666 8.4569
-1.3277 0.7666 8.4569
0.0000 -1.5331 8.4569
Co Ru Au
2 1 1
direct
0.2450 0.2450 0.2450
0.7550 0.7550 0.7550
0.5000 0.5000 0.5000
0.0000 0.0000 0.0000
```

Results
Space group: R-3m (166)
Energy, eV/atom: -34.3587
Relative energy among the computed polymorphs, eV/atom: 0.000
Formation energy, eV per atom: 0.29
Magnetic moment, μB/cell: 4.3

***

Here is Co2RuAu at its PBEsol-relaxed geometry from Alexandria via LeMat-Bulk. Energies are from SCAN.

```
Co2RuAu
1.0
0.0000 2.9862 2.9862
2.9862 0.0000 2.9862
2.9862 2.9862 0.0000
Co Ru Au
2 1 1
direct
0.0000 0.0000 0.0000
0.2500 0.2500 0.2500
0.7500 0.7500 0.7500
0.5000 0.5000 0.5000
```

Results
Space group: F-43m (216)
Energy, eV/atom: -34.3247
Relative energy among the computed polymorphs, eV/atom: 0.034
Formation energy, eV per atom: 0.32
Magnetic moment, μB/cell: 5.5

***

Here is CoSiRuAu2 at its PBEsol-relaxed geometry from Alexandria via LeMat-Bulk. Energies are from SCAN.

```
CoSiRuAu2
1.0
4.6744 0.0000 0.0000
0.0000 4.6744 0.0000
0.0000 0.0000 4.1723
Co Si Ru Au
1 1 1 2
direct
0.0000 0.0000 0.0000
0.5000 0.5000 0.5000
0.0000 0.0000 0.5000
0.0000 0.5000 0.0000
0.5000 0.0000 0.0000
```

Results
Raw formation energy, meV per atom: 1261
Space group: P4/mmm (123)
Energy, eV/atom: -38.8314
Magnetic moment, μB/cell: 1.3